[1]
DFT (PBE-GGA) results for a relaxed structure of Tm2PIr3.

Output
Formation energy from the elements: -0.91 eV/atom
E_tot: -46.42 eV for the cell shown
N(E_F): 3.99 states/eV per cell
Theoretical density: 15.39 g cm⁻³

abc: 5.021 5.021 5.021
angles: 66.52 66.52 66.52
Fractional positions:
1 Tm 0.626 0.626 0.626
2 Tm 0.374 0.374 0.374
3 Ir 0.000 0.500 0.000
4 Ir 0.000 0.000 0.500
5 Ir 0.500 0.000 0.000
6 P 0.000 0.000 0.000


[2]
DFT (PBE-GGA) results for a relaxed structure of Tm4P6Ir7.

Output
Formation energy from the elements: -0.97 eV/atom
E_tot: -128.79 eV for the cell shown
N(E_F): 6.26 states/eV per cell
Theoretical density: 13.44 g cm⁻³

abc: 7.075 7.075 7.075
angles: 109.47 109.47 109.47
Fractional positions:
1 Ir 0.000 0.000 0.000
2 Ir 0.750 0.250 0.500
3 Ir 0.750 0.500 0.250
4 Ir 0.250 0.750 0.500
5 Ir 0.250 0.500 0.750
6 Ir 0.500 0.250 0.750
7 Ir 0.500 0.750 0.250
8 P 0.678 0.678 0.000
9 P 0.678 0.000 0.678
10 P 0.000 0.322 0.322
11 P 0.322 0.322 0.000
12 P 0.000 0.678 0.678
13 P 0.322 0.000 0.322
14 Tm 0.500 0.000 0.000
15 Tm 0.500 0.500 0.500
16 Tm 0.000 0.500 0.000
17 Tm 0.000 0.000 0.500


[3]
DFT (PBE-GGA) results for a relaxed structure of TmPIr.

Output
Formation energy from the elements: -1.05 eV/atom
E_tot: -43.78 eV for the cell shown
N(E_F): 2.35 states/eV per cell
Theoretical density: 12.32 g cm⁻³

abc: 4.113 5.415 5.538
angles: 78.70 68.20 67.68
Fractional positions:
1 Tm 0.946 0.813 0.294
2 Tm 0.054 0.187 0.706
3 Ir 0.686 0.769 0.859
4 Ir 0.314 0.231 0.141
5 P 0.662 0.408 0.267
6 P 0.338 0.592 0.733


[4]
DFT (PBE-GGA) results for a relaxed structure of TmPIr.

Output
Formation energy from the elements: -1.13 eV/atom
E_tot: -132.77 eV for the cell shown
N(E_F): 10.56 states/eV per cell
Theoretical density: 12.88 g cm⁻³

abc: 3.921 6.677 11.596
angles: 88.43 90.00 90.00
Fractional positions:
1 Tm 0.750 0.029 0.291
2 Tm 0.750 0.529 0.379
3 Tm 0.250 0.971 0.709
4 Tm 0.250 0.471 0.621
5 Tm 0.250 0.353 0.919
6 Tm 0.750 0.647 0.081
7 Ir 0.750 0.158 0.538
8 Ir 0.250 0.371 0.210
9 Ir 0.250 0.008 0.092
10 Ir 0.250 0.842 0.462
11 Ir 0.750 0.629 0.790
12 Ir 0.750 0.992 0.908
13 P 0.750 0.265 0.751
14 P 0.250 0.780 0.922
15 P 0.250 0.226 0.424
16 P 0.250 0.735 0.249
17 P 0.750 0.774 0.576
18 P 0.750 0.220 0.078


[5]
DFT (PBE-GGA) results for a relaxed structure of Tm2PIr6.

Output
Formation energy from the elements: -0.71 eV/atom
E_tot: -73.92 eV for the cell shown
N(E_F): 6.64 states/eV per cell
Theoretical density: 16.98 g cm⁻³

abc: 5.950 5.950 5.949
angles: 59.99 59.99 59.99
Fractional positions:
1 Ir 0.768 0.232 0.768
2 Ir 0.232 0.768 0.232
3 Ir 0.232 0.232 0.768
4 Ir 0.768 0.768 0.232
5 Ir 0.768 0.232 0.232
6 Ir 0.232 0.768 0.768
7 Tm 0.250 0.250 0.250
8 Tm 0.750 0.750 0.750
9 P 0.500 0.500 0.500


[6]
DFT (PBE-GGA) results for a relaxed structure of TmP3Ir6.

Output
Formation energy from the elements: -0.52 eV/atom
E_tot: -79.04 eV for the cell shown
N(E_F): 4.10 states/eV per cell
Theoretical density: 15.00 g cm⁻³

abc: 5.477 5.617 6.523
angles: 93.73 109.35 120.31
Fractional positions:
1 Ir 0.852 0.459 0.737
2 Ir 0.283 0.931 0.662
3 Ir 0.573 0.469 0.289
4 Ir 0.143 0.634 0.244
5 Ir 0.312 0.458 0.633
6 Ir 0.741 0.063 0.267
7 P 0.621 0.286 0.990
8 P 0.368 0.632 0.987
9 P 0.196 0.073 0.341
10 Tm 0.910 0.997 0.850


[7]
DFT (PBE-GGA) results for a relaxed structure of TmUP2Ir5.

Output
Formation energy from the elements: -0.49 eV/atom
E_tot: -75.28 eV for the cell shown
N(E_F): 11.28 states/eV per cell
Theoretical density: 13.48 g cm⁻³

abc: 4.014 4.014 10.934
angles: 90.00 90.00 90.00
Last column: magnetic moment on the atom in μB.
Fractional positions:
1 U 0.000 0.000 0.500  2.37
2 Ir 0.500 0.500 0.500  -0.10
3 Ir 0.000 0.500 0.806  0.00
4 Ir 0.500 0.000 0.806  0.00
5 Ir 0.500 0.000 0.194  0.00
6 Ir 0.000 0.500 0.194  0.00
7 Tm 0.000 0.000 0.000  0.02
8 P 0.500 0.500 0.710  0.00
9 P 0.500 0.500 0.290  0.00


[8]
DFT (PBE-GGA) results for a relaxed structure of TmZnP2Ir5.

Output
Formation energy from the elements: -0.36 eV/atom
E_tot: -64.10 eV for the cell shown
N(E_F): 5.87 states/eV per cell
Theoretical density: 13.03 g cm⁻³

abc: 4.013 4.013 9.952
angles: 90.00 90.00 90.00
Fractional positions:
1 Ir 0.500 0.000 0.162
2 Ir 0.500 0.000 0.838
3 Ir 0.500 0.500 0.500
4 Ir 0.000 0.500 0.162
5 Ir 0.000 0.500 0.838
6 Zn 0.000 0.000 0.000
7 P 0.500 0.500 0.728
8 P 0.500 0.500 0.272
9 Tm 0.000 0.000 0.500


[9]
DFT (PBE-GGA) results for a relaxed structure of UPIr.

Output
Formation energy from the elements: -0.46 eV/atom
E_tot: -53.87 eV for the cell shown
N(E_F): 7.45 states/eV per cell
Theoretical density: 14.66 g cm⁻³

abc: 4.103 4.373 6.176
angles: 90.00 109.42 90.00
Last column: magnetic moment on the atom in μB.
Fractional positions:
1 Ir 0.349 0.750 0.699  -0.05
2 Ir 0.651 0.250 0.301  -0.05
3 U 0.933 0.250 0.866  2.06
4 U 0.067 0.750 0.134  2.06
5 P 0.737 0.750 0.474  -0.02
6 P 0.263 0.250 0.526  -0.02


[10]
DFT (PBE-GGA) results for a relaxed structure of U3P3Ir2.

Output
Formation energy from the elements: -0.77 eV/atom
E_tot: -147.97 eV for the cell shown
N(E_F): 25.58 states/eV per cell
Theoretical density: 13.62 g cm⁻³

abc: 4.113 5.532 13.751
angles: 90.00 90.00 111.82
Last column: magnetic moment on the atom in μB.
Fractional positions:
1 P 0.371 0.742 0.250  -0.04
2 P 0.374 0.748 0.544  -0.04
3 P 0.629 0.258 0.750  -0.04
4 P 0.374 0.748 0.956  -0.04
5 P 0.626 0.252 0.456  -0.04
6 P 0.626 0.252 0.044  -0.04
7 Ir 0.221 0.441 0.107  -0.14
8 Ir 0.779 0.559 0.893  -0.14
9 Ir 0.779 0.559 0.607  -0.14
10 Ir 0.221 0.441 0.393  -0.14
11 U 0.068 0.136 0.894  1.92
12 U 0.932 0.864 0.106  1.92
13 U 0.932 0.864 0.394  1.92
14 U 0.651 0.303 0.250  1.62
15 U 0.349 0.697 0.750  1.62
16 U 0.068 0.136 0.606  1.92


[11]
DFT (PBE-GGA) results for a relaxed structure of UPIr.

Output
Formation energy from the elements: -0.64 eV/atom
E_tot: -54.97 eV for the cell shown
N(E_F): 8.87 states/eV per cell
Theoretical density: 13.76 g cm⁻³

abc: 4.185 5.384 5.443
angles: 99.05 90.00 112.87
Last column: magnetic moment on the atom in μB.
Fractional positions:
1 Ir 0.107 0.213 0.863  -0.14
2 Ir 0.893 0.787 0.137  -0.14
3 P 0.702 0.403 0.770  -0.03
4 P 0.298 0.597 0.230  -0.03
5 U 0.399 0.797 0.726  1.50
6 U 0.601 0.203 0.274  1.50


[12]
DFT (PBE-GGA) results for a relaxed structure of UPIr.

Output
Formation energy from the elements: -0.40 eV/atom
E_tot: -26.75 eV for the cell shown
N(E_F): 2.65 states/eV per cell
Theoretical density: 13.98 g cm⁻³

abc: 3.583 3.583 4.962
angles: 111.17 111.17 90.00
Fractional positions:
1 P 0.271 0.271 0.541
2 Ir 0.965 0.965 0.930
3 U 0.614 0.614 0.229